First-principles (PBE-GGA) data for TbSiNiGe2 after structural relaxation, as listed in the Open Quantum Materials Database.

The structure belongs to space group Cmmm (No. 65); the cell edges are 4.005, 21.549 and 4.095 Å and the angles 90.00°, 90.00° and 90.00°. The asymmetric unit holds Tb at (0.000, 0.168, 0.000), Si at (0.000, 0.056, 0.500), Ni at (0.000, 0.392, 0.500), Ge at (0.000, 0.284, 0.500) and Ge at (0.000, 0.443, 0.000).

The calculated total energy is -5.59 eV/atom. As for the calculated density: 7.3 g cm⁻³. The magnetic moment comes out at 0.000 μB/atom.